# 1
TeOsBr2, optimized geometry, DFT PBE-GGA; symmetry = C2/m, No. 12; formation energy from raw total energies = 0.47 eV/atom; polymorph energy (0 for the lowest one) = 9.25 kcal/mol of atoms
1.0
7.5963 0.0361 0.1787
6.9401 3.0887 0.1787
1.6034 0.3447 4.8967
Te Os Br
1 1 2
Direct
0.7500 0.7500 0.7500
0.2500 0.2500 0.2500
0.8953 0.8953 0.1076
0.6047 0.6047 0.3924


# 2
CrCd2W, optimized geometry, DFT PBE-GGA; symmetry = R-3m, No. 166; DFT formation energy = 2.792 eV per formula unit; polymorph energy (0 for the lowest one) = 7.56 kcal/mol of atoms
1.0
9.8132 -0.0558 -0.0327
9.3873 2.8601 -0.0327
9.3873 1.3711 2.5103
Cd Cr W
2 1 1
Direct
0.9983 0.9983 0.9983
0.5017 0.5017 0.5017
0.2500 0.2500 0.2500
0.7500 0.7500 0.7500


# 3
BeInCl2, optimized geometry, DFT PBE-GGA; symmetry = P4mm, No. 99; formation energy from raw total energies = -0.53 eV/atom; polymorph energy (0 for the lowest one) = 4.91 kcal/mol of atoms
1.0
3.2296 0.0000 0.0000
0.0000 3.2307 0.0000
0.0000 0.0000 8.9092
Be Cl In
1 2 1
Direct
0.5000 0.5000 0.9636
0.0000 0.0000 0.8788
0.5000 0.5000 0.1733
0.0000 0.0000 0.4844